Material: CoAgIr
Method: DFT, PBE-GGA
State: optimized geometry

a = 2.729 Å, b = 3.563 Å, c = 9.158 Å
α = 90.00°, β = 90.00°, γ = 90.00°
Space group Imm2 (No. 44)
Unique sites:
Co  0.000  0.000  0.000 x2
Ag  0.000  0.000  0.315 x2
Ir  0.000  0.000  0.621 x2

Excess energy over the best structure of this formula in the dataset: 0.122 eV/atom
Formation energy from the elements: 105 kJ/mol of formula units